Hg2ICl2 | PBE | optimized geometry

Output
V   489.45 Å³/cell
Spin magnetization   0.00 μB per formula unit
Calculated density   4064 kg/m3
Energy relative to the elements, uncorrected   -0.32 eV/atom

```
data_Hg2ICl2
_cell_length_a 7.723
_cell_length_b 7.723
_cell_length_c 9.857
_cell_angle_alpha 113.07
_cell_angle_beta 113.07
_cell_angle_gamma 90.00
_symmetry_space_group_name_H-M 'P 1'
_symmetry_Int_Tables_number 1
_symmetry_space_group_name_Hall 'P 1'
loop_
_atom_site_label
_atom_site_type_symbol
_atom_site_fract_x
_atom_site_fract_y
_atom_site_fract_z
Hg1 Hg 0.443 0.631 0.885
Hg2 Hg 0.505 0.193 0.385
Hg3 Hg 0.881 0.193 0.385
Hg4 Hg 0.443 0.255 0.885
I1 I 0.101 0.101 0.202
I2 I 0.351 0.851 0.702
Cl1 Cl 0.597 0.846 0.194
Cl2 Cl 0.598 0.347 0.694
Cl3 Cl 0.096 0.347 0.694
Cl4 Cl 0.597 0.348 0.194
```